The following is a GGA-PBE calculation of an optimized crystal structure of Pr2DyYSe5, from Alexandria.

Cell and atoms, written as CIF:
```
data_Pr2DyYSe5
_chemical_formula_sum 'Pr2 Dy1 Y1 Se5'
_cell_length_a 5.144
_cell_length_b 5.144
_cell_length_c 10.743
_cell_angle_alpha 90.00
_cell_angle_beta 90.00
_cell_angle_gamma 90.00
_symmetry_space_group_name_H-M 'P 1'
_symmetry_Int_Tables_number 1
loop_
_symmetry_equiv_pos_as_xyz
'x,y,z'
loop_
_atom_site_label
_atom_site_type_symbol
_atom_site_fract_x
_atom_site_fract_y
_atom_site_fract_z
_atom_site_occupancy
Dy1 Dy 0.000 0.000 0.500 1
Pr1 Pr 0.500 0.500 0.314 1
Se1 Se 0.000 0.000 0.755 1
Se2 Se 0.500 0.000 0.500 1
Y1 Y 0.000 0.000 0.000 1
Se3 Se 0.000 0.500 0.500 1
Pr2 Pr 0.500 0.500 0.686 1
Se4 Se 0.000 0.000 0.245 1
Se5 Se 0.500 0.500 0.000 1
```

For the formation energy without anion corrections, the calculation gives -1.294 eV per atom.

The following is a GGA-PBE calculation of an optimized crystal structure of TlCuH3, from Alexandria.

Cell and atoms, written as CIF:
```
data_TlCuH3
_chemical_formula_sum 'Tl1 Cu1 H3'
_cell_length_a 3.772
_cell_length_b 3.772
_cell_length_c 3.772
_cell_angle_alpha 90.00
_cell_angle_beta 90.00
_cell_angle_gamma 90.00
_symmetry_space_group_name_H-M 'P 1'
_symmetry_Int_Tables_number 1
loop_
_symmetry_equiv_pos_as_xyz
'x,y,z'
loop_
_atom_site_label
_atom_site_type_symbol
_atom_site_fract_x
_atom_site_fract_y
_atom_site_fract_z
_atom_site_occupancy
H1 H 0.000 0.000 0.500 1
H2 H 0.000 0.500 0.000 1
Tl1 Tl 0.500 0.500 0.500 1
H3 H 0.500 0.000 0.000 1
Cu1 Cu 0.000 0.000 0.000 1
```

The uncorrected energy is -2.92 eV per atom.

The following is a GGA-PBE calculation of an optimized crystal structure of K2CoW, from Alexandria.

Cell and atoms, written as CIF:
```
data_K2CoW
_chemical_formula_sum 'K2 Co1 W1'
_cell_length_a 2.792
_cell_length_b 2.792
_cell_length_c 11.762
_cell_angle_alpha 90.00
_cell_angle_beta 90.00
_cell_angle_gamma 112.23
_symmetry_space_group_name_H-M 'P 1'
_symmetry_Int_Tables_number 1
loop_
_symmetry_equiv_pos_as_xyz
'x,y,z'
loop_
_atom_site_label
_atom_site_type_symbol
_atom_site_fract_x
_atom_site_fract_y
_atom_site_fract_z
_atom_site_occupancy
K1 K 0.000 0.000 0.514 1
K2 K 0.000 0.000 0.986 1
W1 W 0.500 0.500 0.250 1
Co1 Co 0.500 0.500 0.750 1
```

The value obtained for the formation energy is 1.44 eV per atom.

The following is a GGA-PBE calculation of an optimized crystal structure of KIr3S, from Alexandria.

Cell and atoms, written as CIF:
```
data_KIr3S
_chemical_formula_sum 'K1 Ir3 S1'
_cell_length_a 4.523
_cell_length_b 4.523
_cell_length_c 4.523
_cell_angle_alpha 90.00
_cell_angle_beta 90.00
_cell_angle_gamma 90.00
_symmetry_space_group_name_H-M 'P 1'
_symmetry_Int_Tables_number 1
loop_
_symmetry_equiv_pos_as_xyz
'x,y,z'
loop_
_atom_site_label
_atom_site_type_symbol
_atom_site_fract_x
_atom_site_fract_y
_atom_site_fract_z
_atom_site_occupancy
K1 K 0.500 0.500 0.500 1
Ir1 Ir 0.000 0.500 0.000 1
Ir2 Ir 0.000 0.000 0.500 1
Ir3 Ir 0.500 0.000 0.000 1
S1 S 0.000 0.000 0.000 1
```

For the formation energy without anion corrections, the calculation gives 0.792 eV per atom.

Number 1: size of the total moment 0.0 μB/f.u.. Number 2: size of the total moment 0.0 μB/f.u.. Number 3: size of the total moment 1.5 μB/f.u.. Number 4: size of the total moment 0.0 μB/f.u..